{"formula": "AcZn11Co", "functional": "PBE", "state": "relaxed", "lattice": [[4.6451, -0.0189, 1.9352], [2.2544, 6.5374, 0.9392], [-0.1694, -0.0095, 6.9490]], "species": ["Zn", "Zn", "Zn", "Zn", "Zn", "Zn", "Zn", "Zn", "Zn", "Ac", "Zn", "Co", "Zn"], "fractional_positions": [[0.5000, 0.0000, 0.5000], [0.9771, 0.3650, 0.6532], [0.7221, 0.7624, 0.7745], [0.6303, 0.3650, 0.3468], [0.2779, 0.2376, 0.2255], [0.3697, 0.6350, 0.6532], [0.5034, 0.2376, 0.7745], [0.0000, 0.0000, 0.5000], [0.0000, 0.5000, 0.0000], [0.0000, 0.0000, 0.0000], [0.0229, 0.6350, 0.3468], [0.5000, 0.5000, 0.0000], [0.4966, 0.7624, 0.2255]], "space_group": "C2/m", "e_tot_ev_per_cell": -27.15, "formation_energy_ev_per_atom": -0.148}